# 1
VASP calculation (PBE) on a relaxed Pu2SbO11 crystal.

Output
The value obtained for the spin magnetization is 2.53 μB/f.u. The total energy is -7.588 eV/atom.

a b c (Å): 8.0768 8.0768 8.0768
angles (deg): 121.05 106.91 101.15
Closest atoms and distances in Å follow each position.
Element x y z (fractional)
Pu 0.2008 0.2082 0.4091  5 O 1.90-2.11
Pu 0.2992 0.7082 0.0074  5 O 1.90-2.11
Pu 0.7008 0.2918 0.9926  5 O 1.90-2.11
Pu 0.7992 0.7918 0.5909  5 O 1.90-2.11
Sb 0.2500 0.7500 0.5000  4 O 2.02
Sb 0.7500 0.2500 0.5000  4 O 2.02
O 0.0000 0.0000 0.0000  2 O 1.71
O 0.0499 0.4870 0.8089  1 Pu 1.90
O 0.0553 0.8145 0.6031  1 Pu 2.01, 1 Sb 2.02
O 0.1634 0.9163 0.0797  1 O 1.71
O 0.1781 0.9870 0.4370  1 Pu 1.90
O 0.2114 0.4523 0.3969  1 Pu 2.01, 1 Sb 2.02
O 0.2886 0.6855 0.2409  1 Pu 2.01, 1 Sb 2.02
O 0.3219 0.7590 0.8089  1 Pu 1.90
O 0.3366 0.4163 0.7529  1 O 1.71
O 0.4447 0.0477 0.7591  1 Pu 2.01, 1 Sb 2.02
O 0.4501 0.2590 0.4370  1 Pu 1.90
O 0.5000 0.5000 0.0000  2 O 1.71
O 0.5499 0.7410 0.5630  1 Pu 1.90
O 0.5553 0.9523 0.2409  1 Pu 2.01, 1 Sb 2.02
O 0.6634 0.5837 0.2471  1 O 1.71
O 0.6781 0.2410 0.1911  1 Pu 1.90
O 0.7114 0.3145 0.7591  1 Pu 2.01, 1 Sb 2.02
O 0.7886 0.5477 0.6031  1 Pu 2.01, 1 Sb 2.02
O 0.8219 0.0130 0.5630  1 Pu 1.90
O 0.8366 0.0837 0.9203  1 O 1.71
O 0.9447 0.1855 0.3969  1 Pu 2.01, 1 Sb 2.02
O 0.9501 0.5130 0.1911  1 Pu 1.90

---

# 2
VASP calculation (PBE) on a relaxed Pu2SbO2 crystal.

Output
The value obtained for the spin magnetization is 9.58 μB/f.u. The total energy is -10.843 eV/atom. As for the polymorph energy (0 for the lowest one): 0.0 meV/atom.

a b c (Å): 6.9809 6.9809 6.9809
angles (deg): 147.45 147.45 46.69
Closest atoms and distances in Å follow each position.
Element x y z (fractional)
Pu 0.1575 0.1575 0.0000  4 O 2.29
Pu 0.8425 0.8425 0.0000  4 O 2.29
Sb 0.5000 0.5000 0.0000  8 Pu 3.42, 8 O 3.75
O 0.2500 0.7500 0.5000  4 Pu 2.29
O 0.7500 0.2500 0.5000  4 Pu 2.29

---

# 3
VASP calculation (PBE) on a relaxed Pu2Sb2O crystal.

Output
The value obtained for the spin magnetization is 0.20 μB/f.u. The total energy is -9.585 eV/atom.

a b c (Å): 8.0733 8.0733 7.9576
angles (deg): 90.00 90.00 150.75
Closest atoms and distances in Å follow each position.
Element x y z (fractional)
Pu 0.0370 0.9630 0.5000  2 O 2.52-2.53
Pu 0.3506 0.6494 0.3356  2 O 2.26
Pu 0.6494 0.3506 0.8356  2 O 2.26
Pu 0.9630 0.0370 0.0000  2 O 2.52-2.53
Sb 0.2991 0.7009 0.9588  1 Sb 2.85, 1 Pu 3.10
Sb 0.4250 0.5750 0.6997  1 Sb 2.85, 3 Pu 3.12
Sb 0.5750 0.4250 0.1997  1 Sb 2.85, 3 Pu 3.12
Sb 0.7009 0.2991 0.4588  1 Sb 2.85, 1 Pu 3.10
O 0.0890 0.9110 0.8013  4 Pu 2.26-2.53
O 0.9110 0.0890 0.3013  4 Pu 2.26-2.53

---

# 4
VASP calculation (PBE) on a relaxed Pu3Sb2O crystal.

Output
The value obtained for the spin magnetization is 15.98 μB/f.u. The total energy is -10.561 eV/atom. As for the polymorph energy (0 for the lowest one): 32.7 meV/atom.

a b c (Å): 8.5821 8.5821 8.5821
angles (deg): 150.74 148.32 43.66
Closest atoms and distances in Å follow each position.
Element x y z (fractional)
Pu 0.0000 0.0000 0.0000  2 O 2.34
Pu 0.3508 0.8508 0.5000  1 O 2.38
Pu 0.6492 0.1492 0.5000  1 O 2.38
Sb 0.1494 0.6494 0.5000  7 Pu 3.19-3.22
Sb 0.8506 0.3506 0.5000  7 Pu 3.19-3.22
O 0.5000 0.0000 0.5000  4 Pu 2.34-2.38

---

# 5
VASP calculation (PBE) on a relaxed Pu3Sb3O crystal.

Output
The value obtained for the spin magnetization is 5.22 μB/f.u. The total energy is -9.699 eV/atom.

a b c (Å): 6.6821 6.6821 8.4967
angles (deg): 96.90 96.90 106.84
Closest atoms and distances in Å follow each position.
Element x y z (fractional)
Pu 0.1045 0.4485 0.7704  1 O 2.24
Pu 0.1535 0.1535 0.3743  2 O 2.33-2.42
Pu 0.4485 0.1045 0.7704  1 O 2.24
Pu 0.5515 0.8955 0.2296  1 O 2.24
Pu 0.8465 0.8465 0.6257  2 O 2.33-2.42
Pu 0.8955 0.5515 0.2296  1 O 2.24
Sb 0.1403 0.8597 0.0000  3 Sb 3.01-3.29, 4 Pu 3.10-3.24
Sb 0.2989 0.7011 0.5000  6 Pu 3.15-3.50
Sb 0.3732 0.3732 0.0985  1 Sb 2.87, 1 Pu 3.19
Sb 0.6268 0.6268 0.9015  1 Sb 2.87, 1 Pu 3.19
Sb 0.7011 0.2989 0.5000  6 Pu 3.15-3.50
Sb 0.8597 0.1403 0.0000  3 Sb 3.01-3.29, 4 Pu 3.10-3.24
O 0.1543 0.1543 0.6482  4 Pu 2.24-2.42
O 0.8457 0.8457 0.3518  4 Pu 2.24-2.42

---

# 6
VASP calculation (PBE) on a relaxed Pu2SbO crystal.

Output
The value obtained for the spin magnetization is 11.00 μB/f.u. The total energy is -11.072 eV/atom. As for the polymorph energy (0 for the lowest one): 0.0 meV/atom.

a b c (Å): 8.7019 8.7019 4.7680
angles (deg): 90.00 90.00 150.84
Closest atoms and distances in Å follow each position.
Element x y z (fractional)
Pu 0.0702 0.9298 0.7500  1 O 2.23
Pu 0.2438 0.7562 0.2500  4 O 2.37-2.48
Pu 0.7562 0.2438 0.7500  4 O 2.37-2.48
Pu 0.9298 0.0702 0.2500  1 O 2.23
Sb 0.4062 0.5938 0.7500  10 Pu 3.26-3.63, 1 O 3.43
Sb 0.5938 0.4062 0.2500  10 Pu 3.26-3.63, 1 O 3.43
O 0.2028 0.7972 0.7500  5 Pu 2.23-2.48
O 0.7972 0.2028 0.2500  5 Pu 2.23-2.48

---

# 7
VASP calculation (PBE) on a relaxed Pu4Sb3O2 crystal.

Output
The value obtained for the spin magnetization is 0.71 μB/f.u. The total energy is -10.313 eV/atom.

a b c (Å): 7.0775 7.0775 9.0655
angles (deg): 119.13 119.13 33.11
Closest atoms and distances in Å follow each position.
Element x y z (fractional)
Pu 0.1199 0.1199 0.4080  3 O 2.31-2.36
Pu 0.3042 0.3042 0.8819  1 O 2.28
Pu 0.6958 0.6958 0.1181  1 O 2.28
Pu 0.8801 0.8801 0.5920  3 O 2.31-2.36
Sb 0.0000 0.0000 0.0000  6 Pu 3.06-3.20
Sb 0.3997 0.3997 0.3035  7 Pu 3.13-3.42, 1 Sb 3.20
Sb 0.6003 0.6003 0.6965  7 Pu 3.13-3.42, 1 Sb 3.20
O 0.3068 0.3068 0.6329  4 Pu 2.28-2.36
O 0.6932 0.6932 0.3671  4 Pu 2.28-2.36

---

# 8
VASP calculation (PBE) on a relaxed Pu2SbO2 crystal.

Output
The value obtained for the spin magnetization is 9.04 μB/f.u. The total energy is -10.757 eV/atom. As for the polymorph energy (0 for the lowest one): 85.4 meV/atom.

a b c (Å): 7.3670 6.4614 6.1801
angles (deg): 71.25 56.15 52.60
Closest atoms and distances in Å follow each position.
Element x y z (fractional)
Pu 0.0589 0.6911 0.0589  4 O 2.30-2.32
Pu 0.3089 0.9411 0.3089  4 O 2.30-2.32
Pu 0.6911 0.0589 0.6911  4 O 2.30-2.32
Pu 0.9411 0.3089 0.9411  4 O 2.30-2.32
Sb 0.3750 0.3750 0.3750  6 Pu 3.18-3.30, 4 O 3.35
Sb 0.6250 0.6250 0.6250  6 Pu 3.18-3.30, 4 O 3.35
O 0.0052 0.0052 0.7448  4 Pu 2.30-2.32
O 0.2552 0.2552 0.9948  4 Pu 2.30-2.32
O 0.7448 0.7448 0.0052  4 Pu 2.30-2.32
O 0.9948 0.9948 0.2552  4 Pu 2.30-2.32

---

# 9
VASP calculation (PBE) on a relaxed PuSbO crystal.

Output
The value obtained for the spin magnetization is 4.47 μB/f.u. The total energy is -9.438 eV/atom. As for the polymorph energy (0 for the lowest one): 50.4 meV/atom.

a b c (Å): 3.7669 3.7669 5.3740
angles (deg): 90.00 90.00 120.00
Closest atoms and distances in Å follow each position.
Element x y z (fractional)
Pu 0.0000 0.0000 0.0000  3 O 2.17
Sb 0.6667 0.3333 0.5000  6 Pu 3.46, 6 O 3.46, 6 Sb 3.77
O 0.3333 0.6667 0.0000  3 Pu 2.17

---

# 10
VASP calculation (PBE) on a relaxed PuScSbO6 crystal.

Output
The value obtained for the spin magnetization is 2.00 μB/f.u. The total energy is -8.424 eV/atom.

a b c (Å): 5.5352 5.5352 9.4542
angles (deg): 90.00 90.00 120.00
Closest atoms and distances in Å follow each position.
Element x y z (fractional)
Pu 0.3333 0.6667 0.2500  6 O 2.09
Pu 0.6667 0.3333 0.7500  6 O 2.09
Sc 0.3333 0.6667 0.7500  6 O 2.13
Sc 0.6667 0.3333 0.2500  6 O 2.13
Sb 0.0000 0.0000 0.0000  6 O 2.31
Sb 0.0000 0.0000 0.5000  6 O 2.31
O 0.0065 0.3510 0.1347  1 Pu 2.09, 1 Sc 2.13, 1 Sb 2.31
O 0.0065 0.6555 0.3653  1 Pu 2.09, 1 Sc 2.13, 1 Sb 2.31
O 0.3445 0.3510 0.3653  1 Pu 2.09, 1 Sc 2.13, 1 Sb 2.31
O 0.3445 0.9935 0.1347  1 Pu 2.09, 1 Sc 2.13, 1 Sb 2.31
O 0.3510 0.0065 0.6347  1 Pu 2.09, 1 Sc 2.13, 1 Sb 2.31
O 0.3510 0.3445 0.8653  1 Pu 2.09, 1 Sc 2.13, 1 Sb 2.31
O 0.6490 0.6555 0.1347  1 Pu 2.09, 1 Sc 2.13, 1 Sb 2.31
O 0.6490 0.9935 0.3653  1 Pu 2.09, 1 Sc 2.13, 1 Sb 2.31
O 0.6555 0.0065 0.8653  1 Pu 2.09, 1 Sc 2.13, 1 Sb 2.31
O 0.6555 0.6490 0.6347  1 Pu 2.09, 1 Sc 2.13, 1 Sb 2.31
O 0.9935 0.3445 0.6347  1 Pu 2.09, 1 Sc 2.13, 1 Sb 2.31
O 0.9935 0.6490 0.8653  1 Pu 2.09, 1 Sc 2.13, 1 Sb 2.31